Here is a relaxed structure of YErPt2 from Alexandria via LeMat-Bulk. Energies are from GGA-PBE.

Cell: 4.9498 4.9498 3.4473 Å, 90.00 90.00 90.00°
Sites, in units of the cell vectors:
Y (0.0000, 0.0000, 0.0000)
Er (0.5000, 0.5000, 0.0000)
Pt (0.0000, 0.5000, 0.5000)
Pt (0.5000, 0.0000, 0.5000)

calculated formation energy: -1.23 eV per atom

=====

Here is a relaxed structure of Y2ErPt from Alexandria via LeMat-Bulk. Energies are from GGA-PBE.

Cell: 3.5750 3.5750 8.3829 Å, 90.00 90.00 90.00°
Sites, in units of the cell vectors:
Y (0.0000, 0.0000, 0.1978)
Y (0.0000, 0.0000, 0.8022)
Er (0.5000, 0.5000, 0.5000)
Pt (0.5000, 0.5000, 0.0000)

calculated formation energy: -0.57 eV per atom

=====

Here is a relaxed structure of Y4Er3Pt4 from Alexandria via LeMat-Bulk. Energies are from GGA-PBE.

Cell: 9.4691 9.4691 9.4691 Å, 156.96 124.74 60.65°
Sites, in units of the cell vectors:
Y (0.0212, 0.8347, 0.1865)
Y (0.3518, 0.1653, 0.1865)
Y (0.6482, 0.8347, 0.8135)
Y (0.9788, 0.1653, 0.8135)
Er (0.0000, 0.5000, 0.5000)
Er (0.4018, 0.4018, 0.0000)
Er (0.5982, 0.5982, 0.0000)
Pt (0.2587, 0.7587, 0.5000)
Pt (0.2958, 0.0000, 0.2958)
Pt (0.7042, 0.0000, 0.7042)
Pt (0.7413, 0.2413, 0.5000)

calculated formation energy: -0.91 eV per atom

=====

V (Å³ per atom)
21.1; 26.8; 24.7
DOS at the Fermi energy (states/eV/atom)
0.527; 1.261; 0.732